KY2Fe, relaxed, DFT PBE; E_tot = -20.8 eV per formula unit; ΔH_f (0 K) = 0.4233 eV/atom; energy above the lowest structure with this stoichiometry = 0.2159 eV per atom
1.0
3.985 0.000 0.000
0.000 3.780 0.000
-1.980 0.000 9.056
K Y Fe
1 2 1
Direct
0.000 0.000 0.000
0.314 0.500 0.628
0.691 0.000 0.379
0.174 0.500 0.345